Entry 1:
The following is a DFT calculation (PBE) of a geometry-optimized HfTlCuBr6 structure. Values from VASP.

Cell and atoms, written as Quantum ESPRESSO input:
```
&SYSTEM
  ibrav = 0, nat = 18, ntyp = 4
/
ATOMIC_SPECIES
Hf 178.49 Hf.upf
Br 79.90 Br.upf
Cu 63.55 Cu.upf
Tl 204.38 Tl.upf
CELL_PARAMETERS angstrom
-0.595 5.569 4.107
-3.478 -0.273 -6.006
-11.416 -6.306 6.897
ATOMIC_POSITIONS crystal
Hf 0.667 0.333 0.250
Br 0.375 0.008 0.147
Br 0.633 0.008 0.353
Br 0.625 0.992 0.853
Hf 0.333 0.667 0.750
Br 0.633 0.625 0.147
Br 0.008 0.375 0.647
Cu 0.667 0.333 0.750
Tl 0.000 0.000 0.500
Br 0.008 0.633 0.853
Br 0.375 0.367 0.353
Tl 0.000 0.000 0.000
Br 0.367 0.375 0.853
Br 0.625 0.633 0.647
Br 0.992 0.367 0.147
Br 0.367 0.992 0.647
Cu 0.333 0.667 0.250
Br 0.992 0.625 0.353
```

Computed properties:
* spin magnetization: 0.12 μB/f.u.
* ΔE_f (raw): -0.99 eV per atom
* calculated total energy: -70.8 eV/cell
* crystal system: trigonal
* SG: P-31c, No. 163


Entry 2:
The following is a DFT calculation (PBE) of a geometry-optimized Hf2VCuBr structure. Values from VASP.

Cell and atoms, written as Quantum ESPRESSO input:
```
&SYSTEM
  ibrav = 0, nat = 5, ntyp = 4
/
ATOMIC_SPECIES
Cu 63.55 Cu.upf
Hf 178.49 Hf.upf
V 50.94 V.upf
Br 79.90 Br.upf
CELL_PARAMETERS angstrom
-1.487 -1.855 4.289
-2.775 -3.271 -2.377
3.413 -2.857 -0.053
ATOMIC_POSITIONS crystal
Cu 0.500 0.500 0.500
Hf 0.500 0.000 0.000
Hf 0.000 0.500 0.000
V 0.000 0.000 0.500
Br 0.000 0.000 0.000
```

Computed properties:
* spin magnetization: 2.12 μB/f.u.
* ΔE_f (raw): 0.95 eV per atom
* calculated total energy: -30.0 eV/cell
* crystal system: tetragonal
* SG: P4/mmm, No. 123


Entry 3:
The following is a DFT calculation (PBE) of a geometry-optimized CuHgBr2 structure. Values from VASP.

Cell and atoms, written as Quantum ESPRESSO input:
```
&SYSTEM
  ibrav = 0, nat = 4, ntyp = 3
/
ATOMIC_SPECIES
Cu 63.55 Cu.upf
Br 79.90 Br.upf
Hg 200.59 Hg.upf
CELL_PARAMETERS angstrom
-2.302 -3.763 0.684
3.832 1.435 1.783
-4.654 4.070 6.726
ATOMIC_POSITIONS crystal
Cu 0.000 0.000 0.510
Br 0.500 0.500 0.344
Hg 0.500 0.500 0.715
Br 0.000 0.000 0.932
```

Computed properties:
* energy above the most stable polymorph in this dataset: 104 meV/atom
* spin magnetization: 0.00 μB/f.u.
* ΔE_f (raw): -0.11 eV per atom
* calculated total energy: -8.2 eV/cell
* crystal system: orthorhombic
* SG: Cmm2, No. 35


Volume for the records above, in order: 616, 107, 138 Å³/cell